--- one ---
A plane-wave DFT calculation with PBE was carried out for an optimized crystal structure of Pa2Co4H.

Output
As for the crystal system: tetragonal.

Unit cell a=3.762 b=3.762 c=7.538 alpha=104.45 beta=104.45 gamma=90.00
Fractional positions:
1 Pa 0.619 0.619 0.238
2 Pa 0.381 0.381 0.762
3 Co 0.116 0.116 0.231
4 Co 0.884 0.884 0.769
5 Co 0.750 0.250 0.500
6 Co 0.250 0.750 0.500
7 H 0.000 0.000 0.000

--- two ---
A plane-wave DFT calculation with PBE was carried out for an optimized crystal structure of Pa2Co4H.

Output
As for the crystal system: tetragonal.

Unit cell a=3.805 b=3.805 c=7.021 alpha=74.28 beta=74.28 gamma=90.00
Fractional positions:
1 H 0.000 0.000 0.000
2 Pa 0.655 0.655 0.690
3 Pa 0.345 0.345 0.310
4 Co 0.862 0.862 0.276
5 Co 0.138 0.138 0.724
6 Co 0.000 0.500 0.000
7 Co 0.500 0.000 0.000

Which of them is most stable, and which least? Most stable: two; least stable: one.